The following is a DFT calculation (PBE with a Hubbard U) of a relaxed CrIn2Ag2O6 crystal.

VASP energy in eV per atom: -5.513
Fermi-level density of states in states/eV/f.u.: 3.07

a = 5.6146 Å, b = 5.6146 Å, c = 6.3051 Å
α = 93.91°, β = 93.91°, γ = 120.76°
Last column: nearest neighbours and their distance in Å.
Positions (direct):
1 Cr 0.0000 0.0000 0.0000  6 O 1.93-2.05
2 In 0.3355 0.6645 0.0000  6 O 2.18-2.23
3 In 0.6645 0.3355 0.0000  6 O 2.18-2.23
4 Ag 0.1548 0.8452 0.5000  2 O 2.09
5 Ag 0.8452 0.1548 0.5000  2 O 2.09
6 O 0.0362 0.7216 0.1717  1 Cr 2.05, 1 Ag 2.09, 2 In 2.20-2.23
7 O 0.2784 0.9638 0.8283  1 Cr 2.05, 1 Ag 2.09, 2 In 2.20-2.23
8 O 0.3255 0.3255 0.1550  1 Cr 1.93
9 O 0.6745 0.6745 0.8450  1 Cr 1.93
10 O 0.7216 0.0362 0.1717  1 Cr 2.05, 1 Ag 2.09, 2 In 2.20-2.23
11 O 0.9638 0.2784 0.8283  1 Cr 2.05, 1 Ag 2.09, 2 In 2.20-2.23